A plane-wave DFT calculation with PBE-GGA was carried out for a relaxed structure of Ba2YAlS5.

Its uncorrected formation energy is -1.864 eV per atom. The value obtained for the density of states at the Fermi level is 0.000 states/eV per atom.

Structure (CIF):
```
data_Ba2YAlS5
_chemical_formula_sum 'Ba8 Y4 Al4 S20'
_space_group_name_H-M_alt 'C m c 21'
_space_group_IT_number 36
_cell_length_a 4.0593
_cell_length_b 18.2292
_cell_length_c 13.1211
_cell_angle_alpha 90.00
_cell_angle_beta 90.00
_cell_angle_gamma 90.00
loop_
_space_group_symop_operation_xyz
'x,y,z'
'-x,-y,z+1/2'
'-x,y,z'
'x,-y,z+1/2'
'x+1/2,y+1/2,z'
'-x+1/2,-y+1/2,z+1/2'
'-x+1/2,y+1/2,z'
'x+1/2,-y+1/2,z+1/2'
loop_
_atom_site_label
_atom_site_fract_x
_atom_site_fract_y
_atom_site_fract_z
Ba1 0.0000 0.1188 0.0000
Ba2 0.0000 0.1285 0.6435
Y1 0.0000 0.2039 0.3447
Al1 0.0000 0.4407 0.7419
S1 0.0000 0.0443 0.3340
S2 0.0000 0.2968 0.9818
S3 0.0000 0.3187 0.6973
S4 0.0000 0.3478 0.3243
S5 0.0000 0.4998 0.0950
```



A plane-wave DFT calculation with PBE-GGA was carried out for a relaxed structure of CaZrIrRu.

The value obtained for the electronic total energy is -7.5134 eV/atom. The value obtained for the density of states at the Fermi level is 0.501 states/eV per atom.

Structure (CIF):
```
data_CaZrIrRu
_chemical_formula_sum 'Ca4 Zr4 Ir4 Ru4'
_space_group_name_H-M_alt 'F -4 3 m'
_space_group_IT_number 216
_space_group_name_Hall 'F -4 2 3'
_cell_length_a 6.6454
_cell_length_b 6.6454
_cell_length_c 6.6454
_cell_angle_alpha 90.00
_cell_angle_beta 90.00
_cell_angle_gamma 90.00
loop_
_atom_site_label
_atom_site_fract_x
_atom_site_fract_y
_atom_site_fract_z
Ca1 0.0000 0.0000 0.0000
Zr1 0.0000 0.0000 0.5000
Ir1 0.2500 0.2500 0.7500
Ru1 0.2500 0.2500 0.2500
```



A plane-wave DFT calculation with PBE-GGA was carried out for a relaxed structure of SmBeSi2Pt.

Its uncorrected formation energy is -0.815 eV per atom. The value obtained for the density of states at the Fermi level is 0.298 states/eV per atom.

Structure (CIF):
```
data_SmBeSi2Pt
_chemical_formula_sum 'Sm2 Be2 Si4 Pt2'
_space_group_name_H-M_alt 'I -4 m 2'
_space_group_IT_number 119
_space_group_name_Hall 'I -4 -2'
_cell_length_a 4.0069
_cell_length_b 4.0069
_cell_length_c 10.2120
_cell_angle_alpha 90.00
_cell_angle_beta 90.00
_cell_angle_gamma 90.00
loop_
_atom_site_label
_atom_site_fract_x
_atom_site_fract_y
_atom_site_fract_z
Sm1 0.0000 0.0000 0.0000
Be1 0.0000 0.5000 0.2500
Si1 0.0000 0.0000 0.3821
Pt1 0.0000 0.5000 0.7500
```



A plane-wave DFT calculation with PBE-GGA was carried out for a relaxed structure of K3Np2IrS6.

Its uncorrected formation energy is -1.071 eV per atom. The value obtained for the density of states at the Fermi level is 1.663 states/eV per atom.

Structure (CIF):
```
data_K3Np2IrS6
_chemical_formula_sum 'K6 Np4 Ir2 S12'
_space_group_name_H-M_alt 'C 1 2/m 1'
_space_group_IT_number 12
_cell_length_a 6.6974
_cell_length_b 11.6212
_cell_length_c 7.7837
_cell_angle_alpha 90.00
_cell_angle_beta 106.84
_cell_angle_gamma 90.00
loop_
_space_group_symop_operation_xyz
'x,y,z'
'-x,-y,-z'
'-x,y,-z'
'x,-y,z'
'x+1/2,y+1/2,z'
'-x+1/2,-y+1/2,-z'
'-x+1/2,y+1/2,-z'
'x+1/2,-y+1/2,z'
loop_
_atom_site_label
_atom_site_fract_x
_atom_site_fract_y
_atom_site_fract_z
K1 0.0000 0.0000 0.0000
K2 0.0000 0.3296 0.0000
Np1 0.0000 0.1662 0.5000
Ir1 0.0000 0.5000 0.5000
S1 0.2190 0.3459 0.6948
S2 0.2419 0.5000 0.3040
```



Total moment across the listed records, respectively: 0.00; 0.00; 0.00; 0.67 μB/atom.
Mass density across the listed records, respectively: 3.77; 9.61; 8.32; 5.59 g/cm3.